Entry from the Alexandria database: an optimized crystal structure of CaReS2 (PBE-GGA).

Geometry as POSCAR:
```
CaReS2
1.0
1.118 2.446 3.620
-1.708 -1.042 4.041
2.659 -1.769 3.184
Re S Ca
1 2 1
Direct
0.500 0.500 0.500
0.750 0.750 0.750
0.250 0.250 0.250
0.000 0.000 0.000
```

Computed properties:
The final energy is -23.782 eV per formula unit. As for the uncorrected formation energy: -269 meV per atom. As for the space group: Fm-3m (225). Its excess energy over the best structure of this formula in the dataset is 306 meV/atom.